Material: Pr2HoMg
Method: DFT, GGA-PBE
State: relaxed

```
Pr2HoMg
1.0
-1.035 -3.598 0.220
0.651 -0.412 -3.670
8.582 -2.359 1.787
Pr Mg Ho
2 1 1
direct
0.000 0.000 0.232
0.000 0.000 0.768
0.500 0.500 0.000
0.500 0.500 0.500
```

Its crystal system is tetragonal. The density comes out at 6.13 g cm⁻³. The formation energy is -0.03 eV/atom. Its polymorph energy (0 for the lowest one) is 0.000 eV per atom. The symmetry is No. 123. Its magnetization is 0.00 μB/f.u.